Record 1
A relaxed PmDyRh4 crystal. Source: Alexandria, functional GGA-PBE.

Cell lengths 5.368, 5.368, 5.368 Å; angles 60.00, 60.00, 60.00 degrees
Atoms (fractional coordinates):
Pm: 0.000 0.000 0.000
Dy: 0.250 0.250 0.250
Rh: 0.125 0.625 0.625
Rh: 0.625 0.125 0.625
Rh: 0.625 0.625 0.125
Rh: 0.625 0.625 0.625

Calculated values
* total energy: -7.167 eV per atom
* symmetry: No. 216

=====

Record 2
A relaxed Pm4Dy3Rh4 crystal. Source: Alexandria, functional GGA-PBE.

Cell lengths 9.525, 9.525, 9.525 Å; angles 157.64, 123.62, 61.41 degrees
Atoms (fractional coordinates):
Pm: 0.022 0.836 0.186
Pm: 0.350 0.164 0.186
Pm: 0.650 0.836 0.814
Pm: 0.978 0.164 0.814
Dy: 0.000 0.500 0.500
Dy: 0.401 0.401 0.000
Dy: 0.599 0.599 0.000
Rh: 0.261 0.761 0.500
Rh: 0.283 0.000 0.283
Rh: 0.717 0.000 0.717
Rh: 0.739 0.239 0.500

Calculated values
* total energy: -6.195 eV per atom
* symmetry: No. 71

=====

Record 3
A relaxed Pm2DyRh3 crystal. Source: Alexandria, functional GGA-PBE.

Cell lengths 7.722, 7.722, 7.134 Å; angles 90.00, 90.00, 143.24 degrees
Atoms (fractional coordinates):
Pm: 0.000 0.000 0.000
Pm: 0.000 0.000 0.500
Pm: 0.333 0.667 0.000
Pm: 0.667 0.333 0.000
Dy: 0.332 0.668 0.500
Dy: 0.668 0.332 0.500
Rh: 0.169 0.831 0.258
Rh: 0.169 0.831 0.742
Rh: 0.500 0.500 0.255
Rh: 0.500 0.500 0.745
Rh: 0.831 0.169 0.258
Rh: 0.831 0.169 0.742

Calculated values
* ΔE to the lowest computed polymorph: 5 meV per atom
* total energy: -6.763 eV per atom
* symmetry: No. 65

=====

Number 1: energy of formation -708 meV per atom. Number 2: energy of formation -540 meV per atom. Number 3: energy of formation -737 meV per atom.